A.
A plane-wave DFT calculation with GGA-PBE was carried out for a relaxed InNi2Te crystal.

a = 5.1627 Å, b = 6.8864 Å, c = 8.0603 Å
α = 90.00°, β = 90.00°, γ = 90.00°
Positions (direct):
Te (0.2501, 0.4267, 0.6347)
Te (0.2499, 0.9267, 0.3653)
Te (0.7499, 0.5733, 0.3653)
Te (0.7501, 0.0733, 0.6347)
Ni (0.9999, 0.2500, 0.3899)
Ni (0.9999, 0.7500, 0.1372)
Ni (0.5001, 0.7500, 0.6101)
Ni (0.4999, 0.2500, 0.3899)
Ni (0.4999, 0.7500, 0.1372)
Ni (0.0001, 0.7500, 0.6101)
Ni (0.5001, 0.2500, 0.8628)
Ni (0.0001, 0.2500, 0.8628)
In (0.7500, 0.0942, 0.1182)
In (0.2500, 0.4058, 0.1182)
In (0.7500, 0.5942, 0.8818)
In (0.2500, 0.9058, 0.8818)

Results
Its spin magnetization is 0.00 μB per formula unit. As for the volume: 71.6 Å³/f.u.



B.
A plane-wave DFT calculation with GGA-PBE was carried out for a relaxed InNi2Te crystal.

a = 4.6769 Å, b = 4.6769 Å, c = 4.6769 Å
α = 60.00°, β = 60.00°, γ = 60.00°
Positions (direct):
Ni (0.0000, 0.0000, 0.0000)
Ni (0.2500, 0.2500, 0.2500)
In (0.5000, 0.5000, 0.5000)
Te (0.7500, 0.7500, 0.7500)

Results
Its spin magnetization is 0.08 μB per formula unit. As for the volume: 72.3 Å³/f.u.



Q: Which of them is the least stable? A: B.



A.
A plane-wave DFT calculation with GGA-PBE was carried out for a relaxed In3NiTe crystal.

a = 5.0784 Å, b = 5.0784 Å, c = 5.0784 Å
α = 90.00°, β = 90.00°, γ = 90.00°
Positions (direct):
In (0.5000, 0.0000, 0.0000)
In (0.0000, 0.0000, 0.5000)
In (0.0000, 0.5000, 0.0000)
Te (0.5000, 0.5000, 0.5000)
Ni (0.0000, 0.0000, 0.0000)

Results
Its spin magnetization is 0.00 μB per formula unit. As for the volume: 131.0 Å³/f.u.



B.
A plane-wave DFT calculation with GGA-PBE was carried out for a relaxed In3NiTe crystal.

a = 5.9632 Å, b = 5.9632 Å, c = 5.9632 Å
α = 90.00°, β = 90.00°, γ = 90.00°
Positions (direct):
In (0.5000, 0.0000, 0.0000)
In (0.0000, 0.5000, 0.0000)
In (0.0000, 0.0000, 0.5000)
Te (0.0000, 0.0000, 0.0000)
Ni (0.5000, 0.5000, 0.5000)

Results
Its spin magnetization is 0.03 μB per formula unit. As for the volume: 212.1 Å³/f.u.



Q: Which of them is the least stable? A: B.